Entry 1:
Computed, not measured: TePdI6 after structural relaxation at the PBE level of DFT.

Calculated values
The value obtained for the uncorrected formation energy is -0.0751 eV per atom. The calculation puts the excess energy over the best structure of this formula in the dataset at 0.67 kcal/mol of atoms.

The structure in POSCAR format:
```
TePdI6
1.0
6.526 0.000 0.000
-0.611 7.509 0.000
-2.681 -3.305 7.584
Te Pd I
1 1 6
Cartesian
0.000 0.000 0.000
2.958 3.755 0.000
-1.723 1.797 6.487
-0.596 -1.581 6.156
1.140 0.361 2.657
2.094 3.844 4.926
3.831 5.785 1.427
4.957 2.408 1.097
```

=====

Entry 2:
Computed, not measured: Ba2TaPb after structural relaxation at the PBE level of DFT.

Calculated values
The value obtained for the formation energy is 597 meV/atom.

The structure in POSCAR format:
```
Ba2TaPb
1.0
3.442 0.000 0.000
0.000 3.442 0.000
0.000 0.000 11.136
Ba Ta Pb
2 1 1
Cartesian
0.000 0.000 2.637
0.000 0.000 8.499
1.721 1.721 0.000
1.721 1.721 5.568
```

=====

Entry 3:
Computed, not measured: AlRe2Ir after structural relaxation at the PBE level of DFT.

Calculated values
The value obtained for the formation energy is -105 meV/atom.

The structure in POSCAR format:
```
AlRe2Ir
1.0
2.902 0.000 0.000
0.000 4.517 0.000
0.000 0.000 8.819
Al Re Ir
2 4 2
Cartesian
0.000 0.000 0.000
1.451 2.259 4.410
0.000 0.000 4.420
0.000 2.259 2.304
1.451 0.000 6.714
1.451 2.259 0.011
0.000 2.259 6.429
1.451 0.000 2.020
```

=====

Entry 4:
Computed, not measured: MgAsW4 after structural relaxation at the PBE level of DFT.

Calculated values
The value obtained for the formation energy is 696 meV/atom.

The structure in POSCAR format:
```
MgAsW4
1.0
0.000 3.784 3.784
3.784 0.000 3.784
3.784 3.784 0.000
Mg As W
1 1 4
Cartesian
0.000 0.000 0.000
1.892 1.892 1.892
4.740 2.829 2.829
2.829 4.740 2.829
2.829 2.829 4.740
4.740 4.740 4.740
```

=====

Entry 5:
Computed, not measured: SrPuHgSb after structural relaxation at the PBE level of DFT.

Calculated values
The value obtained for the uncorrected formation energy is -0.4815 eV per atom.

The structure in POSCAR format:
```
SrPuHgSb
1.0
7.826 0.000 0.000
0.000 7.826 0.000
0.000 0.000 7.826
Sr Pu Hg Sb
4 4 4 4
Cartesian
0.000 0.000 0.000
0.000 3.913 3.913
3.913 0.000 3.913
3.913 3.913 0.000
0.000 0.000 3.913
0.000 3.913 0.000
3.913 0.000 0.000
3.913 3.913 3.913
1.957 1.957 5.870
1.957 5.870 1.957
5.870 1.957 1.957
5.870 5.870 5.870
1.957 1.957 1.957
1.957 5.870 5.870
5.870 1.957 5.870
5.870 5.870 1.957
```

=====

Entry 6:
Computed, not measured: CdCoTc2 after structural relaxation at the PBE level of DFT.

Calculated values
The value obtained for the formation energy is 338 meV/atom.

The structure in POSCAR format:
```
CdCoTc2
1.0
10.766 0.000 0.000
0.000 2.746 0.000
-1.816 0.000 4.085
Cd Co Tc
2 2 4
Cartesian
0.000 0.000 0.000
5.383 1.373 0.000
-0.908 1.373 2.043
4.475 0.000 2.043
1.005 0.000 2.918
2.562 1.373 1.168
6.388 1.373 2.918
7.944 0.000 1.168
```

=====

Entry 7:
Computed, not measured: Pm3Sm6TmTh2 after structural relaxation at the PBE level of DFT.

Calculated values
The value obtained for the formation energy is 28 meV/atom.

The structure in POSCAR format:
```
Pm3Sm6TmTh2
1.0
3.128 -5.409 0.000
3.128 5.409 0.000
-2.085 0.000 11.835
Pm Sm Tm Th
3 6 1 2
Cartesian
0.000 0.000 0.000
3.128 1.804 0.000
3.128 -1.804 0.000
1.035 1.817 3.020
-0.017 0.000 8.820
1.035 -1.817 3.020
3.135 1.817 8.816
4.188 0.000 3.015
3.135 -1.817 8.816
2.085 0.000 5.918
2.085 3.608 5.918
2.085 -3.608 5.918
```

=====

Entry 8:
Computed, not measured: TmCd3Au2 after structural relaxation at the PBE level of DFT.

Calculated values
The value obtained for the formation energy is -381 meV/atom.

The structure in POSCAR format:
```
TmCd3Au2
1.0
8.808 -1.765 0.000
8.808 1.765 0.000
-4.365 0.000 8.672
Tm Cd Au
2 6 4
Cartesian
1.918 0.000 0.208
11.333 0.000 8.465
-0.419 0.000 3.830
2.248 0.000 5.531
5.915 0.000 2.605
7.336 0.000 6.067
11.003 0.000 3.141
13.670 0.000 4.842
0.335 0.000 7.545
4.641 0.000 7.196
8.610 0.000 1.477
12.916 0.000 1.128
```

=====

Entry 9:
Computed, not measured: HoErP after structural relaxation at the PBE level of DFT.

Calculated values
The calculation puts the excess energy over the best structure of this formula in the dataset at 1.22 kcal/mol of atoms. The value obtained for the formation energy is -913 meV/atom.

The structure in POSCAR format:
```
HoErP
1.0
12.328 0.000 0.000
0.000 3.733 0.000
-5.040 0.000 6.560
Ho Er P
4 4 4
Cartesian
-0.992 0.000 2.495
2.116 1.866 4.065
5.172 1.866 2.495
8.281 0.000 4.065
1.645 1.866 0.547
-0.521 0.000 6.012
7.810 0.000 0.547
5.643 1.866 6.012
-2.006 1.866 4.704
3.130 0.000 1.856
4.159 0.000 4.704
9.294 1.866 1.856
```

=====

Entry 10:
Computed, not measured: Sm2GdF after structural relaxation at the PBE level of DFT.

Calculated values
The value obtained for the uncorrected formation energy is -1.1391 eV per atom.

The structure in POSCAR format:
```
Sm2GdF
1.0
3.761 0.000 0.000
-1.881 3.257 0.000
0.000 0.000 25.917
Sm Gd F
6 3 3
Cartesian
0.000 0.000 5.774
0.000 0.000 20.143
0.000 2.171 11.504
0.000 2.171 23.051
1.881 1.086 2.865
1.881 1.086 14.413
0.000 0.000 0.000
0.000 2.171 17.278
1.881 1.086 8.639
0.000 0.000 12.958
0.000 2.171 4.319
1.881 1.086 21.597
```